The following is a PBE-GGA calculation of a relaxed structure of HoEr4Tm5, from Alexandria via LeMat-Bulk.

Cell lengths 3.5016, 9.2386, 9.8356 Å; angles 74.51, 89.93, 79.09 degrees
Closest atoms and distances in Å follow each position.
Fractional coordinates of all 10 atoms:
1 Ho 0.0000 0.0000 0.0000  8 Er 3.49, 2 Tm 3.50, 2 Ho 3.50
2 Er 0.3995 0.2005 0.6993  7 Tm 3.48-3.49, 2 Ho 3.49, 3 Er 3.50
3 Er 0.3994 0.2005 0.2004  7 Tm 3.48-3.49, 2 Ho 3.49, 3 Er 3.50
4 Er 0.6006 0.7995 0.7996  7 Tm 3.48-3.49, 2 Ho 3.49, 3 Er 3.50
5 Er 0.6005 0.7995 0.3007  7 Tm 3.48-3.49, 2 Ho 3.49, 3 Er 3.50
6 Tm 0.0000 0.0000 0.5000  8 Er 3.48-3.49, 4 Tm 3.50
7 Tm 0.2002 0.5996 0.6001  5 Er 3.48-3.49, 7 Tm 3.48-3.50
8 Tm 0.2007 0.5994 0.1002  6 Tm 3.48-3.50, 5 Er 3.48-3.49, 1 Ho 3.50
9 Tm 0.7993 0.4006 0.8998  6 Tm 3.48-3.50, 5 Er 3.48-3.49, 1 Ho 3.50
10 Tm 0.7998 0.4004 0.3999  5 Er 3.48-3.49, 7 Tm 3.48-3.50

Values from the calculation:
The space group is P-1. The calculation puts the energy above the most stable polymorph in this dataset at 0.00 kJ per mole of atoms. Its formation energy is 0.025 eV per atom.

---

The following is a PBE-GGA calculation of a relaxed structure of Li5ZnCu2, from Alexandria via LeMat-Bulk.

Cell lengths 7.5571, 11.0468, 2.7775 Å; angles 90.00, 90.00, 90.00 degrees
Closest atoms and distances in Å follow each position.
Fractional coordinates of all 16 atoms:
1 Li 0.0000 0.0000 0.0000  8 Li 2.71-2.78, 4 Cu 2.79
2 Li 0.0079 0.2457 0.0000  7 Li 2.67-2.80, 4 Cu 2.73-2.77, 1 Zn 2.81
3 Li 0.2410 0.3763 0.5000  2 Zn 2.67, 8 Li 2.67-2.80, 2 Cu 2.69-2.84
4 Li 0.2590 0.8763 0.5000  2 Zn 2.67, 8 Li 2.67-2.80, 2 Cu 2.69-2.84
5 Li 0.4921 0.7457 0.0000  7 Li 2.67-2.80, 4 Cu 2.73-2.77, 1 Zn 2.81
6 Li 0.5000 0.5000 0.0000  8 Li 2.71-2.78, 4 Cu 2.79
7 Li 0.5079 0.2543 0.0000  7 Li 2.67-2.80, 4 Cu 2.73-2.77, 1 Zn 2.81
8 Li 0.7410 0.1237 0.5000  2 Zn 2.67, 8 Li 2.67-2.80, 2 Cu 2.69-2.84
9 Li 0.7590 0.6237 0.5000  2 Zn 2.67, 8 Li 2.67-2.80, 2 Cu 2.69-2.84
10 Li 0.9921 0.7543 0.0000  7 Li 2.67-2.80, 4 Cu 2.73-2.77, 1 Zn 2.81
11 Zn 0.0000 0.5000 0.0000  4 Cu 2.60, 6 Li 2.67-2.81, 2 Zn 2.78
12 Zn 0.5000 0.0000 0.0000  4 Cu 2.60, 6 Li 2.67-2.81, 2 Zn 2.78
13 Cu 0.2327 0.6201 0.5000  2 Zn 2.60, 8 Li 2.69-2.84, 2 Cu 2.78
14 Cu 0.2673 0.1201 0.5000  2 Zn 2.60, 8 Li 2.69-2.84, 2 Cu 2.78
15 Cu 0.7327 0.8799 0.5000  2 Zn 2.60, 8 Li 2.69-2.84, 2 Cu 2.78
16 Cu 0.7673 0.3799 0.5000  2 Zn 2.60, 8 Li 2.69-2.84, 2 Cu 2.78

Values from the calculation:
The space group is Pbam. The calculation puts the energy above the most stable polymorph in this dataset at 2.37 kJ per mole of atoms. Its formation energy is -0.024 eV per atom.

---

The following is a PBE-GGA calculation of a relaxed structure of TiVN2, from Alexandria via LeMat-Bulk.

Cell lengths 2.9627, 2.9627, 18.0247 Å; angles 90.00, 90.00, 120.00 degrees
Closest atoms and distances in Å follow each position.
Fractional coordinates of all 12 atoms:
1 Ti 0.0000 0.0000 0.0000  2 N 1.95
2 Ti 0.3333 0.6667 0.6667  2 N 1.95
3 Ti 0.6667 0.3333 0.3333  2 N 1.95
4 V 0.0000 0.0000 0.5000  6 N 2.01
5 V 0.3333 0.6667 0.1667  6 N 2.01
6 V 0.6667 0.3333 0.8333  6 N 2.01
7 N 0.0000 0.0000 0.1080  1 Ti 1.95, 3 V 2.01
8 N 0.0000 0.0000 0.8920  1 Ti 1.95, 3 V 2.01
9 N 0.3333 0.6667 0.5586  1 Ti 1.95, 3 V 2.01
10 N 0.3333 0.6667 0.7747  1 Ti 1.95, 3 V 2.01
11 N 0.6667 0.3333 0.2253  1 Ti 1.95, 3 V 2.01
12 N 0.6667 0.3333 0.4414  1 Ti 1.95, 3 V 2.01

Values from the calculation:
The space group is R-3m. The value obtained for the formation energy (no corrections) is -0.573 eV per atom.

---

The following is a PBE-GGA calculation of a relaxed structure of RbHfTe2F, from Alexandria via LeMat-Bulk.

Cell lengths 5.7609, 5.7609, 4.2740 Å; angles 90.00, 90.00, 90.00 degrees
Closest atoms and distances in Å follow each position.
Fractional coordinates of all 5 atoms:
1 Rb 0.0000 0.0000 0.0000  8 Te 3.59
2 Hf 0.5000 0.5000 0.5000  2 F 2.14
3 Te 0.0000 0.5000 0.5000  2 Hf 2.88
4 Te 0.5000 0.0000 0.5000  2 Hf 2.88
5 F 0.5000 0.5000 0.0000  2 Hf 2.14

Values from the calculation:
The space group is P4/mmm. The value obtained for the formation energy (no corrections) is -1.534 eV per atom.

---

The following is a PBE-GGA calculation of a relaxed structure of KGaOs, from Alexandria via LeMat-Bulk.

Cell lengths 4.3934, 5.1292, 6.6767 Å; angles 92.57, 108.99, 90.00 degrees
Closest atoms and distances in Å follow each position.
Fractional coordinates of all 6 atoms:
1 K 0.0000 0.0000 0.0000  2 Os 3.15-3.44, 2 Ga 3.25-3.42, 4 K 3.32-3.50
2 K 0.4638 0.4740 0.9235  4 K 3.32-3.50, 5 Ga 3.34-3.71, 1 Os 3.59
3 Ga 0.2024 0.4817 0.3943  2 Ga 2.60, 4 Os 2.63-2.70
4 Ga 0.7721 0.7003 0.5351  4 Os 2.55-2.65, 2 Ga 2.60
5 Os 0.2535 0.9844 0.4974  2 Os 2.47, 4 Ga 2.63-2.66
6 Os 0.7490 0.2045 0.4883  2 Os 2.47, 4 Ga 2.55-2.70

Values from the calculation:
The space group is P1. The calculation puts the energy above the most stable polymorph in this dataset at 3.50 kJ per mole of atoms. Its formation energy is 0.238 eV per atom.

---

The following is a PBE-GGA calculation of a relaxed structure of PrPHPt6, from Alexandria via LeMat-Bulk.

Cell lengths 7.6737, 7.6737, 7.6737 Å; angles 121.92, 120.08, 88.29 degrees
Closest atoms and distances in Å follow each position.
Fractional coordinates of all 18 atoms:
1 Pr 0.3149 0.0649 0.2500  9 Pt 3.03-3.34
2 Pr 0.6851 0.9351 0.7500  9 Pt 3.03-3.34
3 P 0.0000 0.5000 0.5000  6 Pt 2.27-2.32
4 P 0.5000 0.5000 0.0000  6 Pt 2.27-2.32
5 H 0.0000 0.0000 0.5000  6 Pt 1.91-2.12
6 H 0.0000 0.5000 0.0000  6 Pt 1.91-2.12
7 Pt 0.0394 0.7894 0.2500  2 H 1.91
8 Pt 0.0933 0.3933 0.2290  1 H 2.12, 1 P 2.27
9 Pt 0.0933 0.8642 0.6999  1 H 2.12, 1 P 2.27
10 Pt 0.3357 0.1358 0.7290  1 H 2.12, 1 P 2.27
11 Pt 0.3357 0.6067 0.1999  1 H 2.12, 1 P 2.27
12 Pt 0.3690 0.6190 0.7500  2 P 2.32
13 Pt 0.6310 0.3810 0.2500  2 P 2.32
14 Pt 0.6643 0.3933 0.8001  1 H 2.12, 1 P 2.27
15 Pt 0.6643 0.8642 0.2710  1 H 2.12, 1 P 2.27
16 Pt 0.9067 0.1358 0.3001  1 H 2.12, 1 P 2.27
17 Pt 0.9067 0.6067 0.7710  1 H 2.12, 1 P 2.27
18 Pt 0.9606 0.2106 0.7500  2 H 1.91

Values from the calculation:
The space group is Imma. For the uncorrected energy, the calculation gives -107.2 eV per cell.

---

The following is a PBE-GGA calculation of a relaxed structure of Lu3Pu5H12, from Alexandria via LeMat-Bulk.

Cell lengths 11.0737, 11.0737, 11.0737 Å; angles 109.47, 109.47, 109.47 degrees
Closest atoms and distances in Å follow each position.
Fractional coordinates of all 80 atoms:
1 Lu 0.1250 0.2500 0.3750  8 H 2.20-2.29
2 Lu 0.1250 0.3750 0.7500  8 H 2.20-2.29
3 Lu 0.2500 0.3750 0.1250  8 H 2.20-2.29
4 Lu 0.2500 0.8750 0.6250  8 H 2.20-2.29
5 Lu 0.3750 0.1250 0.2500  8 H 2.20-2.29
6 Lu 0.3750 0.7500 0.1250  8 H 2.20-2.29
7 Lu 0.6250 0.2500 0.8750  8 H 2.20-2.29
8 Lu 0.6250 0.8750 0.7500  8 H 2.20-2.29
9 Lu 0.7500 0.1250 0.3750  8 H 2.20-2.29
10 Lu 0.7500 0.6250 0.8750  8 H 2.20-2.29
11 Lu 0.8750 0.6250 0.2500  8 H 2.20-2.29
12 Lu 0.8750 0.7500 0.6250  8 H 2.20-2.29
13 Pu 0.0000 0.0000 0.0000  6 H 2.20
14 Pu 0.0000 0.0000 0.5000  6 H 2.20
15 Pu 0.0000 0.5000 0.0000  6 H 2.20
16 Pu 0.0000 0.5000 0.5000  6 H 2.20
17 Pu 0.1250 0.7500 0.8750  4 H 2.23
18 Pu 0.1250 0.8750 0.2500  4 H 2.23
19 Pu 0.2500 0.1250 0.8750  4 H 2.23
20 Pu 0.2500 0.6250 0.3750  4 H 2.23
21 Pu 0.3750 0.2500 0.6250  4 H 2.23
22 Pu 0.3750 0.6250 0.7500  4 H 2.23
23 Pu 0.5000 0.0000 0.0000  6 H 2.20
24 Pu 0.5000 0.0000 0.5000  6 H 2.20
25 Pu 0.5000 0.5000 0.0000  6 H 2.20
26 Pu 0.5000 0.5000 0.5000  6 H 2.20
27 Pu 0.6250 0.3750 0.2500  4 H 2.23
28 Pu 0.6250 0.7500 0.3750  4 H 2.23
29 Pu 0.7500 0.3750 0.6250  4 H 2.23
30 Pu 0.7500 0.8750 0.1250  4 H 2.23
31 Pu 0.8750 0.1250 0.7500  4 H 2.23
32 Pu 0.8750 0.2500 0.1250  4 H 2.23
33 H 0.0717 0.7293 0.6540  1 H 2.13, 2 Lu 2.20-2.29, 2 Pu 2.20-2.23
34 H 0.0717 0.8424 0.4178  1 H 2.13, 2 Lu 2.20-2.29, 2 Pu 2.20-2.23
35 H 0.0753 0.2293 0.1576  1 H 2.13, 2 Lu 2.20-2.29, 2 Pu 2.20-2.23
36 H 0.0753 0.3460 0.9178  1 H 2.13, 2 Lu 2.20-2.29, 2 Pu 2.20-2.23
37 H 0.0822 0.6576 0.4283  1 H 2.13, 2 Lu 2.20-2.29, 2 Pu 2.20-2.23
38 H 0.0822 0.9247 0.6540  1 H 2.13, 2 Lu 2.20-2.29, 2 Pu 2.20-2.23
39 H 0.1540 0.2293 0.5717  1 H 2.13, 2 Lu 2.20-2.29, 2 Pu 2.20-2.23
40 H 0.1540 0.4247 0.5822  1 H 2.13, 2 Lu 2.20-2.29, 2 Pu 2.20-2.23
41 H 0.1576 0.0753 0.2293  1 H 2.13, 2 Lu 2.20-2.29, 2 Pu 2.20-2.23
42 H 0.1576 0.5822 0.9283  1 H 2.13, 2 Lu 2.20-2.29, 2 Pu 2.20-2.23
43 H 0.2293 0.1576 0.0753  1 H 2.13, 2 Lu 2.20-2.29, 2 Pu 2.20-2.23
44 H 0.2293 0.5717 0.1540  1 H 2.13, 2 Lu 2.20-2.29, 2 Pu 2.20-2.23
45 H 0.2707 0.3460 0.9283  1 H 2.13, 2 Lu 2.20-2.29, 2 Pu 2.20-2.23
46 H 0.2707 0.4247 0.3424  1 H 2.13, 2 Lu 2.20-2.29, 2 Pu 2.20-2.23
47 H 0.3424 0.2707 0.4247  1 H 2.13, 2 Lu 2.20-2.29, 2 Pu 2.20-2.23
48 H 0.3424 0.5717 0.9178  1 H 2.13, 2 Lu 2.20-2.29, 2 Pu 2.20-2.23
49 H 0.3460 0.9178 0.0753  1 H 2.13, 2 Lu 2.20-2.29, 2 Pu 2.20-2.23
50 H 0.3460 0.9283 0.2707  1 H 2.13, 2 Lu 2.20-2.29, 2 Pu 2.20-2.23
51 H 0.4178 0.0717 0.8424  1 H 2.13, 2 Lu 2.20-2.29, 2 Pu 2.20-2.23
52 H 0.4178 0.8460 0.5753  1 H 2.13, 2 Lu 2.20-2.29, 2 Pu 2.20-2.23
53 H 0.4247 0.3424 0.2707  1 H 2.13, 2 Lu 2.20-2.29, 2 Pu 2.20-2.23
54 H 0.4247 0.5822 0.1540  1 H 2.13, 2 Lu 2.20-2.29, 2 Pu 2.20-2.23
55 H 0.4283 0.0822 0.6576  1 H 2.13, 2 Lu 2.20-2.29, 2 Pu 2.20-2.23
56 H 0.4283 0.8460 0.7707  1 H 2.13, 2 Lu 2.20-2.29, 2 Pu 2.20-2.23
57 H 0.5717 0.1540 0.2293  1 H 2.13, 2 Lu 2.20-2.29, 2 Pu 2.20-2.23
58 H 0.5717 0.9178 0.3424  1 H 2.13, 2 Lu 2.20-2.29, 2 Pu 2.20-2.23
59 H 0.5753 0.4178 0.8460  1 H 2.13, 2 Lu 2.20-2.29, 2 Pu 2.20-2.23
60 H 0.5753 0.6576 0.7293  1 H 2.13, 2 Lu 2.20-2.29, 2 Pu 2.20-2.23
61 H 0.5822 0.1540 0.4247  1 H 2.13, 2 Lu 2.20-2.29, 2 Pu 2.20-2.23
62 H 0.5822 0.9283 0.1576  1 H 2.13, 2 Lu 2.20-2.29, 2 Pu 2.20-2.23
63 H 0.6540 0.0717 0.7293  1 H 2.13, 2 Lu 2.20-2.29, 2 Pu 2.20-2.23
64 H 0.6540 0.0822 0.9247  1 H 2.13, 2 Lu 2.20-2.29, 2 Pu 2.20-2.23
65 H 0.6576 0.4283 0.0822  1 H 2.13, 2 Lu 2.20-2.29, 2 Pu 2.20-2.23
66 H 0.6576 0.7293 0.5753  1 H 2.13, 2 Lu 2.20-2.29, 2 Pu 2.20-2.23
67 H 0.7293 0.5753 0.6576  1 H 2.13, 2 Lu 2.20-2.29, 2 Pu 2.20-2.23
68 H 0.7293 0.6540 0.0717  1 H 2.13, 2 Lu 2.20-2.29, 2 Pu 2.20-2.23
69 H 0.7707 0.4283 0.8460  1 H 2.13, 2 Lu 2.20-2.29, 2 Pu 2.20-2.23
70 H 0.7707 0.8424 0.9247  1 H 2.13, 2 Lu 2.20-2.29, 2 Pu 2.20-2.23
71 H 0.8424 0.4178 0.0717  1 H 2.13, 2 Lu 2.20-2.29, 2 Pu 2.20-2.23
72 H 0.8424 0.9247 0.7707  1 H 2.13, 2 Lu 2.20-2.29, 2 Pu 2.20-2.23
73 H 0.8460 0.5753 0.4178  1 H 2.13, 2 Lu 2.20-2.29, 2 Pu 2.20-2.23
74 H 0.8460 0.7707 0.4283  1 H 2.13, 2 Lu 2.20-2.29, 2 Pu 2.20-2.23
75 H 0.9178 0.0753 0.3460  1 H 2.13, 2 Lu 2.20-2.29, 2 Pu 2.20-2.23
76 H 0.9178 0.3424 0.5717  1 H 2.13, 2 Lu 2.20-2.29, 2 Pu 2.20-2.23
77 H 0.9247 0.6540 0.0822  1 H 2.13, 2 Lu 2.20-2.29, 2 Pu 2.20-2.23
78 H 0.9247 0.7707 0.8424  1 H 2.13, 2 Lu 2.20-2.29, 2 Pu 2.20-2.23
79 H 0.9283 0.1576 0.5822  1 H 2.13, 2 Lu 2.20-2.29, 2 Pu 2.20-2.23
80 H 0.9283 0.2707 0.3460  1 H 2.13, 2 Lu 2.20-2.29, 2 Pu 2.20-2.23

Values from the calculation:
The space group is Ia-3d. For the uncorrected energy, the calculation gives -521.2 eV per cell.

---

The following is a PBE-GGA calculation of a relaxed structure of KNa, from Alexandria via LeMat-Bulk.

Cell lengths 14.7996, 14.7996, 4.0249 Å; angles 90.00, 90.00, 90.00 degrees
Closest atoms and distances in Å follow each position.
Fractional coordinates of all 16 atoms:
1 K 0.1206 0.1741 0.0000  4 K 4.02-4.43, 4 Na 4.03-4.24
2 K 0.1741 0.8794 0.0000  4 K 4.02-4.43, 4 Na 4.03-4.24
3 K 0.3259 0.6206 0.5000  4 K 4.02-4.43, 4 Na 4.03-4.24
4 K 0.3794 0.3259 0.5000  4 K 4.02-4.43, 4 Na 4.03-4.24
5 K 0.6206 0.6741 0.5000  4 K 4.02-4.43, 4 Na 4.03-4.24
6 K 0.6741 0.3794 0.5000  4 K 4.02-4.43, 4 Na 4.03-4.24
7 K 0.8259 0.1206 0.0000  4 K 4.02-4.43, 4 Na 4.03-4.24
8 K 0.8794 0.8259 0.0000  4 K 4.02-4.43, 4 Na 4.03-4.24
9 Na 0.0739 0.6265 0.0000  6 Na 3.67-4.02, 1 K 4.03
10 Na 0.1265 0.4261 0.5000  6 Na 3.67-4.02, 1 K 4.03
11 Na 0.3735 0.0739 0.0000  6 Na 3.67-4.02, 1 K 4.03
12 Na 0.4261 0.8735 0.5000  6 Na 3.67-4.02, 1 K 4.03
13 Na 0.5739 0.1265 0.5000  6 Na 3.67-4.02, 1 K 4.03
14 Na 0.6265 0.9261 0.0000  6 Na 3.67-4.02, 1 K 4.03
15 Na 0.8735 0.5739 0.5000  6 Na 3.67-4.02, 1 K 4.03
16 Na 0.9261 0.3735 0.0000  6 Na 3.67-4.02, 1 K 4.03

Values from the calculation:
The space group is I4/m. Its formation energy is 0.056 eV per atom.

---

The following is a PBE-GGA calculation of a relaxed structure of NpBC, from Alexandria via LeMat-Bulk.

Cell lengths 2.9069, 2.9069, 4.1895 Å; angles 90.00, 90.00, 120.00 degrees
Closest atoms and distances in Å follow each position.
Fractional coordinates of all 3 atoms:
1 Np 0.0000 0.0000 0.0000  6 B 2.68, 6 C 2.68, 6 Np 2.91
2 B 0.6667 0.3333 0.5000  3 C 1.68
3 C 0.3333 0.6667 0.5000  3 B 1.68

Values from the calculation:
The space group is P-6m2. The calculation puts the energy above the most stable polymorph in this dataset at 2.49 kJ per mole of atoms. Its formation energy is -0.190 eV per atom.

---

The following is a PBE-GGA calculation of a relaxed structure of TiCoTeI2, from Alexandria via LeMat-Bulk.

Cell lengths 5.6141, 5.6141, 5.3224 Å; angles 90.00, 90.00, 90.00 degrees
Closest atoms and distances in Å follow each position.
Fractional coordinates of all 5 atoms:
1 Ti 0.0000 0.0000 0.0000  2 Te 2.66, 4 I 2.81
2 Co 0.5000 0.5000 0.5000  8 I 3.87, 4 Te 3.97
3 Te 0.0000 0.0000 0.5000  2 Ti 2.66
4 I 0.0000 0.5000 0.0000  2 Ti 2.81
5 I 0.5000 0.0000 0.0000  2 Ti 2.81

Values from the calculation:
The space group is P4/mmm. The value obtained for the formation energy (no corrections) is 0.529 eV per atom. The calculation puts the energy above the most stable polymorph in this dataset at 0.00 kJ per mole of atoms.

---

The following is a PBE-GGA calculation of a relaxed structure of Hf3HOs, from Alexandria via LeMat-Bulk.

Cell lengths 4.3082, 4.3082, 4.3082 Å; angles 90.00, 90.00, 90.00 degrees
Closest atoms and distances in Å follow each position.
Fractional coordinates of all 5 atoms:
1 Hf 0.0000 0.0000 0.5000  2 H 2.15
2 Hf 0.0000 0.5000 0.0000  2 H 2.15
3 Hf 0.5000 0.0000 0.0000  2 H 2.15
4 H 0.0000 0.0000 0.0000  6 Hf 2.15
5 Os 0.5000 0.5000 0.5000  12 Hf 3.05

Values from the calculation:
The space group is Pm-3m. The calculation puts the energy above the most stable polymorph in this dataset at 23.62 kJ per mole of atoms.

---

Density of states at the Fermi level (computed, states/eV/f.u.): 13.902, 3.059, 3.083, 0.955, 0.907, 2.914, 35.741, 1.478, 4.810, 8.560, 4.851